(1)
A plane-wave DFT calculation with PBE was carried out for an optimized crystal structure of DyHoErAl.

Results
E_form = -0.19 eV per atom
calculated total energy = -18.25 eV/cell
energy above the lowest structure with this stoichiometry = 0.000 eV/atom
calculated volume = 106.3 Å³ per cell

a = 4.7321 Å, b = 4.7374 Å, c = 4.7410 Å
α = 90.00°, β = 90.00°, γ = 90.00°
Positions (direct):
1 Dy 0.0000 0.0000 0.0000
2 Ho 0.0000 0.5000 0.5000
3 Er 0.5000 0.0000 0.5000
4 Al 0.5000 0.5000 0.0000


(2)
A plane-wave DFT calculation with PBE was carried out for an optimized crystal structure of DyHoErAl.

Results
E_form = -0.05 eV per atom
calculated total energy = -17.68 eV/cell
energy above the lowest structure with this stoichiometry = 0.144 eV/atom
calculated volume = 106.4 Å³ per cell

a = 5.3192 Å, b = 5.3192 Å, c = 5.3192 Å
α = 60.00°, β = 60.00°, γ = 60.00°
Positions (direct):
1 Dy 0.0000 0.0000 0.0000
2 Ho 0.7500 0.7500 0.7500
3 Er 0.5000 0.5000 0.5000
4 Al 0.2500 0.2500 0.2500


(3)
A plane-wave DFT calculation with PBE was carried out for an optimized crystal structure of DyErAlIn.

Results
E_form = -0.42 eV per atom
calculated total energy = -17.31 eV/cell
energy above the lowest structure with this stoichiometry = 0.000 eV/atom
calculated volume = 98.7 Å³ per cell

a = 3.5808 Å, b = 3.5808 Å, c = 7.6983 Å
α = 90.00°, β = 90.00°, γ = 90.00°
Positions (direct):
1 Dy 0.0000 0.0000 0.0000
2 Er 0.0000 0.0000 0.5242
3 Al 0.5000 0.5000 0.7597
4 In 0.5000 0.5000 0.2651


(4)
A plane-wave DFT calculation with PBE was carried out for an optimized crystal structure of DyErAlIn.

Results
E_form = -0.41 eV per atom
calculated total energy = -17.27 eV/cell
energy above the lowest structure with this stoichiometry = 0.012 eV/atom
calculated volume = 99.1 Å³ per cell

a = 5.1940 Å, b = 5.1940 Å, c = 5.1940 Å
α = 60.00°, β = 60.00°, γ = 60.00°
Positions (direct):
1 Dy 0.0000 0.0000 0.0000
2 Er 0.5000 0.5000 0.5000
3 Al 0.2500 0.2500 0.2500
4 In 0.7500 0.7500 0.7500


(5)
A plane-wave DFT calculation with PBE was carried out for an optimized crystal structure of LaDyErAl.

Results
E_form = -0.07 eV per atom
calculated total energy = -18.11 eV/cell
energy above the lowest structure with this stoichiometry = 0.119 eV/atom
calculated volume = 113.0 Å³ per cell

a = 5.4262 Å, b = 5.4262 Å, c = 5.4262 Å
α = 60.00°, β = 60.00°, γ = 60.00°
Positions (direct):
1 La 0.0000 0.0000 0.0000
2 Dy 0.5000 0.5000 0.5000
3 Er 0.2500 0.2500 0.2500
4 Al 0.7500 0.7500 0.7500


(6)
A plane-wave DFT calculation with PBE was carried out for an optimized crystal structure of LaDyErAl.

Results
E_form = -0.19 eV per atom
calculated total energy = -18.59 eV/cell
energy above the lowest structure with this stoichiometry = 0.000 eV/atom
calculated volume = 114.8 Å³ per cell

a = 3.5383 Å, b = 3.5383 Å, c = 9.1688 Å
α = 90.00°, β = 90.00°, γ = 90.00°
Positions (direct):
1 La 0.0000 0.0000 0.0000
2 Dy 0.5000 0.5000 0.7027
3 Er 0.5000 0.5000 0.2923
4 Al 0.0000 0.0000 0.4956


What is the calculated total energy in the fourth record? -17.27 eV/cell


Look up the calculated total energy of the third one. -17.31 eV/cell